Entry from Alexandria: crystalline Be2PPt4 at its relaxed geometry (PBE-GGA).

Lattice parameters (Å, degrees): 4.460 4.460 11.479 90.00 90.00 90.00
Space group I4/mmm (No. 139)
Unique sites:
1 Be 0.000 0.000 0.101 [4 per cell]
2 P 0.000 0.000 0.500 [2 per cell]
3 Pt 0.000 0.000 0.288 [4 per cell]
4 Pt 0.000 0.500 0.000 [4 per cell]

Calculated values
Energy of formation from the pure elements: 0.215 eV/atom
Magnetic moment: 0.00 μB per cell
Electronic total energy: -5.0748 eV/atom